Density functional theory data (PBE-GGA) for a geometry-optimized GaPd10 structure.

Lattice parameters (Å, degrees): 8.738 3.892 32.834 90.00 90.37 90.00
Space group C2/m (No. 12)
Asymmetric unit:
Ga1 0.150 0.000 0.222
Pd1 0.047 0.000 0.679
Pd2 0.048 0.500 0.263
Pd3 0.049 0.500 0.541
Pd4 0.051 0.000 0.404
Pd5 0.148 0.500 0.623
Pd6 0.150 0.000 0.486
Pd7 0.152 0.500 0.348
Pd8 0.154 0.000 0.767
Pd9 0.244 0.500 0.706
Pd10 0.249 0.000 0.569

=====

Density functional theory data (PBE-GGA) for a geometry-optimized GaPd15 structure.

Lattice parameters (Å, degrees): 7.919 45.077 3.926 90.00 90.00 90.00
Space group Pccm (No. 49)
Asymmetric unit:
Ga1 0.166 0.174 0.000
Pd1 0.120 0.210 0.500
Pd2 0.122 0.257 0.000
Pd3 0.124 0.302 0.500
Pd4 0.125 0.346 0.000
Pd5 0.125 0.390 0.500
Pd6 0.125 0.434 0.000
Pd7 0.125 0.478 0.500
Pd8 0.370 0.168 0.500
Pd9 0.370 0.258 0.500
Pd10 0.374 0.302 0.000
Pd11 0.375 0.346 0.500
Pd12 0.375 0.390 0.000
Pd13 0.375 0.434 0.500
Pd14 0.375 0.478 0.000
Pd15 0.380 0.214 0.000

=====

Density functional theory data (PBE-GGA) for a geometry-optimized Ga2Pd3 structure.

Lattice parameters (Å, degrees): 7.168 7.168 2.992 90.00 90.00 90.00
Space group P4/mbm (No. 127)
Asymmetric unit:
Ga1 0.152 0.348 0.000
Pd1 0.000 0.000 0.000
Pd2 0.146 0.646 0.500

=====

Density functional theory data (PBE-GGA) for a geometry-optimized GaPd structure.

Lattice parameters (Å, degrees): 3.115 3.115 3.115 90.00 90.00 90.00
Space group Pm-3m (No. 221)
Asymmetric unit:
Ga1 0.000 0.000 0.000
Pd1 0.500 0.500 0.500

=====

Density functional theory data (PBE-GGA) for a geometry-optimized GaPd3 structure.

Lattice parameters (Å, degrees): 5.636 5.636 30.725 90.00 90.00 90.00
Space group I4_1/acd (No. 142, origin choice 2)
Asymmetric unit:
Ga1 0.000 0.250 0.058
Pd1 0.000 0.250 0.313
Pd2 0.190 0.060 0.125
Pd3 0.250 0.000 0.000

=====

Density functional theory data (PBE-GGA) for a geometry-optimized GaPd15 structure.

Lattice parameters (Å, degrees): 4.811 36.306 4.810 90.00 109.74 90.00
Space group P2/c (No. 13)
Asymmetric unit:
Ga1 0.000 0.217 0.250
Pd1 0.000 0.246 0.750
Pd2 0.000 0.288 0.250
Pd3 0.000 0.326 0.750
Pd4 0.000 0.365 0.250
Pd5 0.000 0.403 0.750
Pd6 0.000 0.442 0.250
Pd7 0.000 0.481 0.750
Pd8 0.500 0.210 0.750
Pd9 0.500 0.246 0.250
Pd10 0.500 0.287 0.750
Pd11 0.500 0.326 0.250
Pd12 0.500 0.364 0.750
Pd13 0.500 0.403 0.250
Pd14 0.500 0.442 0.750
Pd15 0.500 0.481 0.250

=====

Density functional theory data (PBE-GGA) for a geometry-optimized GaPd8 structure.

Lattice parameters (Å, degrees): 8.743 3.877 29.684 90.00 90.19 90.00
Space group C2/m (No. 12)
Asymmetric unit:
Ga1 0.051 0.000 0.254
Pd1 0.050 0.500 0.393
Pd2 0.051 0.000 0.546
Pd3 0.051 0.500 0.701
Pd4 0.149 0.000 0.637
Pd5 0.149 0.500 0.485
Pd6 0.155 0.000 0.333
Pd7 0.247 0.500 0.266
Pd8 0.249 0.000 0.424

=====

Density functional theory data (PBE-GGA) for a geometry-optimized GaPd structure.

Lattice parameters (Å, degrees): 5.140 5.140 5.140 90.00 90.00 90.00
Space group Fm-3m (No. 225)
Asymmetric unit:
Ga1 0.000 0.000 0.000
Pd1 0.000 0.000 0.500

=====

Density functional theory data (PBE-GGA) for a geometry-optimized GaPd structure.

Lattice parameters (Å, degrees): 3.0014 3.0014 3.9790 90.00 90.00 120.00
Space group P-6m2 (No. 187)
Asymmetric unit:
Ga1 0.0000 0.0000 0.0000
Pd1 0.6667 0.3333 0.5000

=====

Density functional theory data (PBE-GGA) for a geometry-optimized GaPd structure.

Lattice parameters (Å, degrees): 4.0242 4.0242 6.5113 90.00 90.00 120.00
Space group P6_3mc (No. 186)
Asymmetric unit:
Ga1 0.3333 0.6667 0.0000
Pd1 0.3333 0.6667 0.3778

=====

Density functional theory data (PBE-GGA) for a geometry-optimized PmGaPd2 structure.

Lattice parameters (Å, degrees): 7.520 7.198 5.721 90.00 90.00 90.00
Space group Pnma (No. 62)
Asymmetric unit:
Pm1 0.032 0.250 0.146
Ga1 0.117 0.750 0.355
Pd1 0.180 0.053 0.589

Output
M_tot (Bohr magnetons per cell): 0.00

=====

Density functional theory data (PBE-GGA) for a geometry-optimized Pm3Ga4Pd2 structure.

Lattice parameters (Å, degrees): 10.948 4.443 8.637 90.00 112.62 90.00
Space group C2/m (No. 12)
Asymmetric unit:
Pm1 0.000 0.000 0.000
Pm2 0.178 0.500 0.646
Ga1 0.021 0.000 0.359
Ga2 0.244 0.500 0.083
Pd1 0.100 0.500 0.267

Output
M_tot (Bohr magnetons per cell): 0.01

=====

Density functional theory data (PBE-GGA) for a geometry-optimized PmGa4Pd2 structure.

Lattice parameters (Å, degrees): 6.508 6.508 3.001 90.00 90.00 90.00
Space group P-42m (No. 111)
Asymmetric unit:
Pm1 0.000 0.000 0.000
Ga1 0.298 0.298 0.479
Pd1 0.000 0.500 0.000

Output
M_tot (Bohr magnetons per cell): 0.00

=====

Density functional theory data (PBE-GGA) for a geometry-optimized PmGa4Pd6 structure.

Lattice parameters (Å, degrees): 7.3816 7.3816 3.9506 90.00 90.00 120.00
Space group P-6m2 (No. 187)
Asymmetric unit:
Pm1 0.0000 0.0000 0.0000
Ga1 0.3333 0.6667 0.0000
Ga2 0.3989 0.1995 0.5000
Pd1 0.1988 0.3976 0.5000
Pd2 0.5337 0.0674 0.0000

Output
M_tot (Bohr magnetons per cell): 0.00

=====

Density functional theory data (PBE-GGA) for a geometry-optimized Pm2Ga5Pd3 structure.

Lattice parameters (Å, degrees): 10.315 12.789 5.810 90.00 90.00 90.00
Space group Ibam (No. 72)
Asymmetric unit:
Pm1 0.226 0.137 0.000
Ga1 0.000 0.000 0.250
Ga2 0.000 0.290 0.250
Ga3 0.166 0.402 0.000
Pd1 0.000 0.500 0.250
Pd2 0.097 0.144 0.500

Output
M_tot (Bohr magnetons per cell): 0.04

=====

Density functional theory data (PBE-GGA) for a geometry-optimized PrGaPd structure.

Lattice parameters (Å, degrees): 4.5581 4.5581 7.3931 90.00 90.00 120.00
Space group P6_3mc (No. 186)
Asymmetric unit:
Pr1 0.0000 0.0000 0.0000
Ga1 0.3333 0.6667 0.2496
Pd1 0.3333 0.6667 0.7509

Output
M_tot (Bohr magnetons per cell): 0.00

=====

Density functional theory data (PBE-GGA) for a geometry-optimized Pr2Ga12Pd structure.

Lattice parameters (Å, degrees): 6.134 6.134 15.614 90.00 90.00 90.00
Space group P4/nbm (No. 125, origin choice 2)
Asymmetric unit:
Pr1 0.250 0.750 0.247
Ga1 0.000 0.000 0.088
Ga2 0.073 0.573 0.429
Ga3 0.250 0.250 0.185
Ga4 0.250 0.250 0.342
Pd1 0.250 0.750 0.000

Output
M_tot (Bohr magnetons per cell): 0.00

=====

| no. | electronic total energy (eV per formula unit) |
| --- | --- |
| 1 | -55.396 |
| 2 | -81.162 |
| 3 | -24.466 |
| 4 | -9.360 |
| 5 | -20.543 |
| 6 | -80.846 |
| 7 | -45.047 |
| 8 | -8.902 |
| 9 | -9.352 |
| 10 | -8.323 |
| 11 | -21.612 |
| 12 | -43.886 |
| 13 | -30.276 |
| 14 | -56.403 |
| 15 | -48.098 |
| 16 | -15.367 |
| 17 | -57.607 |